An optimized crystal structure of Tm2Co4Ge3. Source: Alexandria via LeMat-Bulk, functional PBE.

```
Tm2Co4Ge3
1.0
-2.425 4.462 1.752
-6.193 -3.049 -0.806
1.549 -4.705 5.890
Ge Co Tm
6 8 4
Direct
0.516 0.750 0.532
0.000 0.000 0.000
0.484 0.250 0.468
0.500 0.500 0.000
0.016 0.750 0.532
0.984 0.250 0.468
0.177 0.988 0.355
0.677 0.512 0.355
0.681 0.750 0.861
0.181 0.750 0.861
0.823 0.012 0.645
0.319 0.250 0.139
0.819 0.250 0.139
0.323 0.488 0.645
0.105 0.586 0.210
0.605 0.914 0.210
0.895 0.414 0.790
0.395 0.086 0.790
```

Calculated values
Formation energy, eV/atom: -0.478
Crystal system: orthorhombic
Size of the total moment, μB per formula unit: 0.00
Mass density, g cm⁻³: 9.8